(1)
VASP calculation (SCAN) on a PBEsol-optimized structure of Ta2IrRu.

Results
**Total magnetization**: 0.006 μB per formula unit
**E**: -60.294 eV/atom

Cell and atoms, written as extended XYZ:
```
4
Lattice="2.9357 0.0000 0.0000 0.0000 3.6436 0.0000 0.0000 0.0000 5.8280" Properties=species:S:1:pos:R:3 pbc="T T T"
Ru 1.4679 1.8218 2.9140
Ta 0.0000 0.0000 4.3553
Ta 0.0000 0.0000 1.4728
Ir 1.4679 1.8218 0.0000
```

***

(2)
VASP calculation (SCAN) on a PBEsol-optimized structure of Ba2Tm2Zn8O13.

Results
**Total magnetization**: 0.000 μB per formula unit
**E**: -17.131 eV/atom
**E_form (uncorrected)**: -2.256 eV per atom

Cell and atoms, written as extended XYZ:
```
25
Lattice="-0.8950 1.1510 -6.1496 4.8206 -0.5965 -4.0434 -2.4536 -9.6866 -1.3785" Properties=species:S:1:pos:R:3 pbc="T T T"
Ba 1.9092 -5.0051 -9.3339
Ba 0.5157 -0.4948 -1.8101
Zn 0.4874 -3.1839 -3.9643
Zn -0.0997 -2.8277 -7.0875
Zn 1.6634 -0.8631 -5.2302
Zn -1.9872 -7.8637 -5.9004
Zn 0.5160 -8.0728 -8.0984
Zn 0.8717 -8.7378 -4.8470
Zn 0.5247 -5.8093 -6.2440
Zn 2.9051 -3.7464 -5.9803
O 1.7160 -3.7281 -2.6600
O 2.6713 -0.8710 -3.5456
O -1.3357 -2.7951 -3.7846
O 0.0175 -0.0596 -4.5235
O 2.4414 -7.5550 -8.2475
O 2.3367 -5.6386 -5.8182
O 2.4584 -0.2480 -6.8772
O -0.0454 -7.6405 -6.2163
O 1.2371 -2.7792 -5.6631
O -2.0316 -8.1786 -1.2727
O -0.5733 -2.6412 -0.6355
O -0.3442 -6.7033 -9.2740
O -0.7818 -4.6852 -6.9673
Tm 2.8030 -1.3973 -8.7660
Tm -1.1587 -6.7122 -2.4247
```

***

(3)
VASP calculation (SCAN) on a PBEsol-optimized structure of PRuS2O.

Results
**Total magnetization**: 0.000 μB per formula unit
**E**: -13.160 eV/atom
**E_form (uncorrected)**: 0.983 eV per atom

Cell and atoms, written as extended XYZ:
```
5
Lattice="-0.5018 2.9257 -2.4538 -3.9436 0.3324 1.2029 1.1256 2.6693 2.9525" Properties=species:S:1:pos:R:3 pbc="T T T"
O 0.0000 0.0000 0.0000
P -0.2509 1.4628 -1.2269
S 0.5628 1.3347 1.4762
S -1.9718 0.1662 0.6014
Ru -1.6599 2.9637 0.8508
```

***

(4)
VASP calculation (SCAN) on a PBEsol-optimized structure of LiAgSb4.

Results
**Total magnetization**: 0.000 μB per formula unit
**E**: -30.222 eV/atom
**E_form (uncorrected)**: 0.245 eV per atom

Cell and atoms, written as extended XYZ:
```
6
Lattice="6.1560 0.0000 0.0000 3.0780 5.3312 0.0000 3.0780 1.7771 5.0263" Properties=species:S:1:pos:R:3 pbc="T T T"
Li 0.0000 0.0000 0.0000
Sb 6.1560 5.3211 1.8885
Sb 6.1560 3.5542 4.3872
Sb 4.6258 2.6707 1.8885
Sb 7.6862 2.6707 1.8885
Ag 9.2340 5.3312 3.7698
```

***

(5)
VASP calculation (SCAN) on a PBEsol-optimized structure of PtRh2.

Results
**Total magnetization**: 0.005 μB per formula unit
**E**: -45.922 eV/atom

Cell and atoms, written as extended XYZ:
```
3
Lattice="-0.1780 -0.1735 -2.6948 -1.9966 -0.9625 1.5527 -2.9845 5.8972 -0.1824" Properties=species:S:1:pos:R:3 pbc="T T T"
Rh -3.3611 3.1944 0.0164
Rh -1.7981 1.5668 -1.3409
Pt 0.0000 0.0000 0.0000
```

***

(6)
VASP calculation (SCAN) on a PBEsol-optimized structure of LaAs2BrN.

Results
**Total magnetization**: 6.023 μB per formula unit
**E**: -21.614 eV/atom
**E_form (uncorrected)**: 0.834 eV per atom

Cell and atoms, written as extended XYZ:
```
5
Lattice="-0.4149 -0.4416 -5.7880 5.6859 -1.4109 -0.3000 -1.3805 -5.6764 0.5321" Properties=species:S:1:pos:R:3 pbc="T T T"
Br -0.2075 -0.2208 -2.8940
La 0.0000 0.0000 0.0000
N 1.9452 -3.7644 -2.7780
As -0.6902 -2.8382 0.2660
As 2.8429 -0.7055 -0.1500
```

***

(7)
VASP calculation (SCAN) on a PBEsol-optimized structure of CrAgBr2.

Results
**Total magnetization**: 4.056 μB per formula unit
**E**: -22.422 eV/atom
**E_form (uncorrected)**: -0.254 eV per atom

Cell and atoms, written as extended XYZ:
```
4
Lattice="3.5475 0.0000 0.0000 1.7738 3.0723 0.0000 1.7738 1.0241 8.8735" Properties=species:S:1:pos:R:3 pbc="T T T"
Ag 0.0000 0.0000 0.0000
Br 1.7738 1.0241 6.0304
Br 5.3213 3.0723 2.8431
Cr 3.5475 2.0482 4.4367
```

***

(8)
VASP calculation (SCAN) on a PBEsol-optimized structure of TcOs2Br.

Results
**Total magnetization**: 0.000 μB per formula unit
**E**: -48.300 eV/atom
**E_form (uncorrected)**: 1.270 eV per atom

Cell and atoms, written as extended XYZ:
```
4
Lattice="-1.4864 1.8285 1.6605 -3.0960 -3.1798 0.7300 4.5932 -0.7357 2.4195" Properties=species:S:1:pos:R:3 pbc="T T T"
Os 0.4029 0.2115 2.6301
Os -0.0568 -2.0457 4.7040
Br -0.4117 -2.2866 2.1494
Tc -2.2043 -0.7290 1.3318
```

***

(9)
VASP calculation (SCAN) on a PBEsol-optimized structure of Cd2ReAu.

Results
**Total magnetization**: 0.519 μB per formula unit
**E**: -49.775 eV/atom

Cell and atoms, written as extended XYZ:
```
4
Lattice="-3.1869 1.4271 -1.7683 0.9825 -2.1144 -3.4772 -2.2231 -3.2750 1.3633" Properties=species:S:1:pos:R:3 pbc="T T T"
Au -1.5934 0.7136 -0.8842
Re -2.2137 -1.9812 -1.9411
Cd -1.1116 -1.6375 0.6817
Cd 0.4913 -1.0572 -1.7386
```

***

(10)
VASP calculation (SCAN) on a PBEsol-optimized structure of K2CdTe.

Results
**Total magnetization**: 0.000 μB per formula unit
**E**: -21.480 eV/atom
**E_form (uncorrected)**: -0.399 eV per atom

Cell and atoms, written as extended XYZ:
```
8
Lattice="5.9285 0.0000 0.0000 0.0000 5.9285 0.0000 -2.9643 -2.9643 10.5057" Properties=species:S:1:pos:R:3 pbc="T T T"
Te 0.0000 0.0000 0.0000
Te 0.0000 2.9643 5.2528
Cd 2.9643 0.0000 5.2528
Cd 2.9643 2.9643 0.0000
K 4.5906 1.4821 2.6264
K 1.3379 4.4464 2.6264
K 1.4821 1.6263 7.8792
K -1.4821 -1.6263 7.8792
```

***

(11)
VASP calculation (SCAN) on a PBEsol-optimized structure of SrBe2Re.

Results
**Total magnetization**: 0.000 μB per formula unit
**E**: -25.087 eV/atom

Cell and atoms, written as extended XYZ:
```
4
Lattice="-1.1205 -1.7175 -2.6649 -2.0321 -1.7441 1.9785 -3.2524 4.9210 -1.8039" Properties=species:S:1:pos:R:3 pbc="T T T"
Re -1.1926 1.1313 -0.2276
Be -2.9583 -0.4199 -0.6070
Be -3.2867 1.2818 0.5559
Sr -4.1925 2.5867 -2.0257
```

***

(12)
VASP calculation (SCAN) on a PBEsol-optimized structure of LaRh2Br.

Results
**Total magnetization**: 0.000 μB per formula unit
**E**: -32.766 eV/atom
**E_form (uncorrected)**: -0.239 eV per atom

Cell and atoms, written as extended XYZ:
```
4
Lattice="-3.5161 -0.5736 2.2344 2.2812 -1.4703 3.2123 0.3442 3.9108 1.5455" Properties=species:S:1:pos:R:3 pbc="T T T"
La 0.1721 1.9554 0.7728
Br -0.4453 0.9335 3.4961
Rh 1.1406 -0.7351 1.6061
Rh -1.7580 -0.2868 1.1172
```

***

(13)
VASP calculation (SCAN) on a PBEsol-optimized structure of SrNd3Ni2O8.

Results
**Total magnetization**: 0.222 μB per formula unit
**E**: -19.641 eV/atom
**E_form (uncorrected)**: -2.839 eV per atom

Cell and atoms, written as extended XYZ:
```
14
Lattice="5.2908 0.0000 0.0000 0.0000 5.2896 0.0000 -2.6454 0.0000 6.1588" Properties=species:S:1:pos:R:3 pbc="T T T"
O 0.0000 0.0000 2.1702
O 2.6454 2.6448 2.0107
O 1.3446 3.9941 0.0551
O 3.9462 1.2955 0.0551
O 1.3446 1.2955 0.0551
O 2.6454 0.0000 4.0228
O 0.0000 2.6448 4.0092
O 3.9462 3.9941 0.0551
Sr 2.6454 2.6448 4.4133
Nd 0.0000 0.0000 4.4928
Nd 2.6454 0.0000 1.7103
Nd 0.0000 2.6448 1.6677
Ni 0.0000 2.6448 6.1359
Ni 2.6454 0.0000 6.0995
```

***

(14)
VASP calculation (SCAN) on a PBEsol-optimized structure of ZnCo4Mo.

Results
**Total magnetization**: 0.009 μB per formula unit
**E**: -19.343 eV/atom

Cell and atoms, written as extended XYZ:
```
6
Lattice="4.5780 0.0000 0.0000 2.2890 3.9647 0.0000 2.2890 1.3216 3.7379" Properties=species:S:1:pos:R:3 pbc="T T T"
Co 4.5780 3.9724 1.3990
Co 4.5780 2.6431 3.2788
Co 5.7292 1.9785 1.3990
Co 3.4268 1.9785 1.3990
Mo 6.8670 3.9647 2.8034
Zn 0.0000 0.0000 0.0000
```

***

(15)
VASP calculation (SCAN) on a PBEsol-optimized structure of Ni2TeAs.

Results
**Total magnetization**: 0.000 μB per formula unit
**E**: -21.841 eV/atom
**E_form (uncorrected)**: 0.606 eV per atom

Cell and atoms, written as extended XYZ:
```
4
Lattice="4.4708 0.0000 0.0000 2.2354 3.8718 0.0000 2.2354 1.2906 3.6504" Properties=species:S:1:pos:R:3 pbc="T T T"
Te 2.2354 1.2906 0.9126
As 4.4708 2.5812 1.8252
Ni 6.7062 3.8718 2.7378
Ni 0.0000 0.0000 0.0000
```

***

(16)
VASP calculation (SCAN) on a PBEsol-optimized structure of SiTeW2.

Results
**Total magnetization**: 0.000 μB per formula unit
**E**: -45.941 eV/atom
**E_form (uncorrected)**: 0.720 eV per atom

Cell and atoms, written as extended XYZ:
```
4
Lattice="-0.2034 -2.0611 -2.2462 2.5363 -1.2267 -1.1820 0.4540 -7.1163 4.4109" Properties=species:S:1:pos:R:3 pbc="T T T"
W 2.0955 -7.7042 0.6458
W 0.6914 -2.6999 0.3369
Si 1.3934 -5.2020 0.4914
Te 0.0000 0.0000 0.0000
```

***

(17)
VASP calculation (SCAN) on a PBEsol-optimized structure of Cu2NiIr.

Results
**Total magnetization**: 0.927 μB per formula unit
**E**: -29.374 eV/atom

Cell and atoms, written as extended XYZ:
```
4
Lattice="-1.8131 -0.7810 1.6935 -2.0942 -1.2932 -0.8410 2.6737 -7.7745 1.2743" Properties=species:S:1:pos:R:3 pbc="T T T"
Ir -0.6403 -4.8824 1.0576
Ni -0.3324 -2.4193 0.5257
Cu -3.8948 -2.0964 0.8556
Cu -0.8901 -7.4490 1.6039
```

***

(18)
VASP calculation (SCAN) on a PBEsol-optimized structure of HfIO2.

Results
**Total magnetization**: 1.000 μB per formula unit
**E**: -30.419 eV/atom
**E_form (uncorrected)**: -2.449 eV per atom

Cell and atoms, written as extended XYZ:
```
8
Lattice="6.3085 0.0000 0.0000 3.1543 5.4633 0.0000 3.1543 1.8211 5.1509" Properties=species:S:1:pos:R:3 pbc="T T T"
O 4.7314 4.5528 3.2193
O 7.8856 4.5528 3.2193
O 6.3085 3.6422 0.6439
O 6.3085 1.8211 3.2193
I 3.1543 1.8211 1.2877
I 0.0000 0.0000 0.0000
Hf 6.3085 3.6422 2.5754
Hf 9.4628 5.4633 3.8632
```

***

(19)
VASP calculation (SCAN) on a PBEsol-optimized structure of KSO2F.

Results
**Total magnetization**: 0.000 μB per formula unit
**E**: -8.758 eV/atom
**E_form (uncorrected)**: -1.966 eV per atom

Cell and atoms, written as extended XYZ:
```
10
Lattice="4.5615 0.0000 0.0529 0.0000 5.7092 0.0000 -2.1036 0.0000 6.5410" Properties=species:S:1:pos:R:3 pbc="T T T"
O 0.0633 3.0653 4.5682
O 2.3946 2.6439 2.0257
O 0.0633 5.4984 4.5682
O 2.3946 0.2107 2.0257
F 1.8494 4.2819 5.8248
F 0.6084 1.4273 0.7692
S 0.0986 4.2819 5.4050
S 2.3592 1.4273 1.1890
K 0.1103 4.2819 1.9220
K 2.3475 1.4273 4.6720
```

***

(20)
VASP calculation (SCAN) on a PBEsol-optimized structure of Li4MnO3F.

Results
**Total magnetization**: 4.000 μB per formula unit
**E**: -7.829 eV/atom
**E_form (uncorrected)**: -2.268 eV per atom

Cell and atoms, written as extended XYZ:
```
18
Lattice="-1.7743 4.2255 2.7130 -4.6202 -2.5690 -0.6458 0.9569 -3.0866 5.4332" Properties=species:S:1:pos:R:3 pbc="T T T"
Li -3.2200 -1.8018 3.2373
Li -4.2820 1.5245 3.5268
Li -5.1519 -0.5524 2.5001
Li -1.1380 -3.0115 4.0738
Li -2.3053 0.3819 4.3168
Li -3.6065 -0.2823 0.4910
Li -0.2681 -0.9346 5.1004
Li -2.6918 1.9014 1.5704
O -4.0907 -1.8073 1.5178
O -0.8649 -2.5778 5.9476
O -2.4561 2.0952 3.4469
O -1.3508 0.3895 5.9609
O -2.9854 -3.5130 4.0318
O -4.1191 -0.3154 4.1283
Mn -4.8343 -0.7962 5.7069
Mn -0.6575 -0.4589 1.4854
F -1.3651 -1.1296 3.4419
F -4.5078 1.1039 1.5866
```

***

(21)
VASP calculation (SCAN) on a PBEsol-optimized structure of HgPtSe2.

Results
**Total magnetization**: 0.000 μB per formula unit
**E**: -44.916 eV/atom
**E_form (uncorrected)**: -0.287 eV per atom

Cell and atoms, written as extended XYZ:
```
4
Lattice="3.6810 0.0000 0.0000 0.0000 4.8052 -0.0905 0.0000 -2.0682 5.0599" Properties=species:S:1:pos:R:3 pbc="T T T"
Hg 1.8405 1.3685 2.4847
Pt 1.8405 2.4026 -0.0453
Se 0.0000 3.8538 0.7275
Se 0.0000 -1.1168 4.2418
```

***

(22)
VASP calculation (SCAN) on a PBEsol-optimized structure of LiIrIN2.

Results
**Total magnetization**: 3.873 μB per formula unit
**E**: -23.721 eV/atom
**E_form (uncorrected)**: 2.041 eV per atom

Cell and atoms, written as extended XYZ:
```
5
Lattice="-3.0979 2.0536 0.6499 -1.9754 -3.1625 0.5768 1.1121 0.1726 4.7554" Properties=species:S:1:pos:R:3 pbc="T T T"
I 0.5561 0.0863 2.3777
N -0.9877 -1.5813 0.2884
N -1.5490 1.0268 0.3250
Li 0.0000 0.0000 0.0000
Ir -1.9806 -0.4682 2.9911
```

***

(23)
VASP calculation (SCAN) on a PBEsol-optimized structure of Li2V2P2H12O15.

Results
**Total magnetization**: 4.000 μB per formula unit
**E**: -7.688 eV/atom

Cell and atoms, written as extended XYZ:
```
66
Lattice="-3.4511 3.4921 -1.0084 -6.3755 -7.3288 -3.5605 -0.9392 -1.3611 10.9569" Properties=species:S:1:pos:R:3 pbc="T T T"
H -4.6254 -5.1203 -0.3463
H -6.1404 -0.0774 6.7344
H -1.1675 0.1683 -0.2714
H -1.8687 -1.0198 1.3080
H -6.1931 -5.9495 7.2849
H -2.3066 0.5301 1.5495
H -2.1080 -0.1013 4.2749
H -4.5786 -4.4914 2.7042
H -4.8597 -0.4086 8.5233
H -3.2546 -0.9640 9.5960
H -6.1872 -0.7064 3.6838
H -8.8971 -4.1779 5.0801
H -8.4592 -5.7278 4.8385
H -4.5727 0.7517 -0.8968
H -4.0867 -3.2622 6.9650
H -4.3031 -3.8341 9.0555
H -6.6791 -1.9355 -0.5769
H -6.4627 -1.3637 -2.6675
H -3.8259 -1.0729 -1.2823
H -8.6578 -5.0964 2.1131
H -6.9399 -4.1249 7.6704
H -5.9061 -4.7891 -2.1352
H -9.5983 -5.3660 6.6595
H -7.5112 -4.2338 -3.2080
O -3.6927 -2.0557 -1.0478
O -3.8592 0.4601 -1.5521
O -3.7609 -0.3204 4.7400
O -1.1089 -0.1607 4.2787
O -4.4664 -1.0296 1.5855
O -2.3114 -2.7366 3.8683
O -9.6569 -5.0371 2.1093
O -7.1720 -1.2127 -1.1411
O -6.1810 -1.6643 3.9738
O -7.0049 -4.8773 1.6480
O -6.1750 -5.4535 -0.6993
O -4.5908 0.2558 7.0873
O -4.7224 -2.1043 6.2594
O -3.5938 -3.9851 7.5292
O -5.6219 0.8769 0.3111
O -9.2835 -5.1178 5.0179
O -7.0731 -3.1420 7.4358
O -5.1438 -6.0746 6.0769
O -7.1856 -6.5019 4.6909
O -8.5123 -4.0689 -3.3049
O -6.0433 -3.0935 0.1286
O -8.2974 -4.0430 -0.3828
O -1.4823 -0.0799 1.3702
O -2.4684 -1.1547 6.7708
O -2.2535 -1.1288 9.6929
O -4.5848 -3.5334 2.4143
O -8.4544 -2.4611 2.5198
O -3.5802 1.3041 1.6972
O -5.9674 -4.2968 -3.0168
O -6.2994 -4.1681 4.8026
P -6.9329 -4.3934 0.2053
P -3.8328 -0.8044 6.1828
P -5.8711 -5.6319 4.7384
P -4.8947 0.4342 1.6496
V -0.9504 -1.1740 8.1431
V -9.8154 -4.0238 -1.7551
V -6.6195 -2.3275 5.6378
V -4.1463 -2.8702 0.7502
Li -4.1780 -1.9419 3.5341
Li -4.5192 1.5410 4.3071
Li -6.5878 -3.2559 2.8539
Li -6.2465 -6.7388 2.0809
```